! ThCo4Sn (PBE, relaxed); values from VASP
&SYSTEM
  ibrav = 0, nat = 6, ntyp = 3
/
ATOMIC_SPECIES
Th 232.04 Th.upf
Co 58.93 Co.upf
Sn 118.71 Sn.upf
CELL_PARAMETERS angstrom
0.000 3.598 3.598
3.598 0.000 3.598
3.598 3.598 0.000
ATOMIC_POSITIONS crystal
Th 0.000 0.000 0.000
Co 0.376 0.376 0.376
Co 0.376 0.376 0.872
Co 0.376 0.872 0.376
Co 0.872 0.376 0.376
Sn 0.750 0.750 0.750
! Calculated total energy: -0.2478 hartree per atom
! E_form: -101.5 meV per atom